{
  "formula": "Mn2PbCl",
  "functional": "PBE",
  "state": "relaxed",
  "lattice": [[3.2605, 0.0000, 0.0000], [0.0000, 3.2605, 0.0000], [0.0000, 0.0000, 7.6440]],
  "species": ["Mn", "Mn", "Pb", "Cl"],
  "fractional_positions": [[0.0000, 0.0000, 0.2415], [0.0000, 0.0000, 0.7585], [0.5000, 0.5000, 0.5000], [0.5000, 0.5000, 0.0000]],
  "magmom_total_mub_per_cell": 8.39,
  "formation_energy_uncorrected_ev_per_atom": 0.30,
  "space_group": "P4/mmm, No. 123",
  "e_above_lowest_polymorph_mev_per_atom": 262.2,
  "dos_ef_per_ev_fu": 3.99,
  "mass_density_g_cm3": 7.2,
  "energy_ev_per_atom": -5.669
}